# LaMnO3 (GGA+U, relaxed)
# raw total energy	-7.284	eV per atom
data_LaMnO3
_chemical_formula_sum 'La4 Mn4 O12'
_cell_length_a 6.132
_cell_length_b 14.005
_cell_length_c 3.794
_cell_angle_alpha 90.00
_cell_angle_beta 90.00
_cell_angle_gamma 90.00
_symmetry_space_group_name_H-M 'C m c m'
_symmetry_Int_Tables_number 63
_symmetry_space_group_name_Hall '-C 2c 2'
loop_
_atom_site_label
_atom_site_type_symbol
_atom_site_fract_x
_atom_site_fract_y
_atom_site_fract_z
La1 La 0.000 0.166 0.250
Mn1 Mn 0.000 0.410 0.250
O1 O 0.000 0.000 0.000
O2 O 0.243 0.328 0.250